[1]
{"formula": "Tl2Hg6PdAu", "functional": "PBE", "state": "relaxed", "e_tot_ev_per_cell": -15.3, "dos_at_fermi_per_ev_atom": 0.306, "rho_g_cm3": 12.62, "total_magnetization_mub_per_cell": 0.00, "cell": [[-7.856, -1.920, 3.718], [-0.468, -5.160, -3.709], [6.627, 3.738, 4.870]], "species": ["Tl", "Tl", "Hg", "Hg", "Hg", "Hg", "Hg", "Hg", "Pd", "Au"], "frac_coords": [[0.716, 0.260, 0.598], [0.380, 0.734, 0.590], [0.806, 0.020, 0.178], [0.640, 0.545, 0.387], [0.144, 0.207, 0.872], [0.876, 0.500, 0.165], [0.239, 0.018, 0.367], [0.216, 0.716, 0.871], [0.988, 0.005, 0.989], [0.495, 0.501, 0.980]]}



[2]
{"formula": "TlHgPdAu", "functional": "PBE", "state": "relaxed", "e_tot_ev_per_cell": -11.0, "dos_at_fermi_per_ev_atom": 0.483, "rho_g_cm3": 14.67, "total_magnetization_mub_per_cell": 0.00, "cell": [[4.840, 0.000, 0.000], [2.420, 4.191, 0.000], [2.420, 1.397, 3.952]], "species": ["Tl", "Au", "Hg", "Pd"], "frac_coords": [[0.250, 0.250, 0.250], [0.000, 0.000, 0.000], [0.750, 0.750, 0.750], [0.500, 0.500, 0.500]]}



[3]
{"formula": "Tl6Hg2PdAu", "functional": "PBE", "state": "relaxed", "e_tot_ev_per_cell": -23.3, "dos_at_fermi_per_ev_atom": 0.368, "rho_g_cm3": 10.45, "total_magnetization_mub_per_cell": 0.00, "cell": [[-4.777, -2.548, 5.304], [5.923, -0.146, 4.787], [-1.797, 6.284, -3.472]], "species": ["Tl", "Tl", "Tl", "Tl", "Tl", "Tl", "Hg", "Hg", "Pd", "Au"], "frac_coords": [[0.638, 0.719, 0.844], [0.825, 0.841, 0.506], [0.362, 0.282, 0.155], [0.807, 0.299, 0.013], [0.175, 0.160, 0.493], [0.193, 0.702, 0.987], [0.770, 0.267, 0.524], [0.229, 0.734, 0.476], [0.000, 0.000, 0.000], [0.500, 0.500, 0.000]]}



[4]
{"formula": "TlHgPdAu2", "functional": "PBE", "state": "relaxed", "e_tot_ev_per_cell": -11.8, "dos_at_fermi_per_ev_atom": 0.469, "rho_g_cm3": 10.48, "total_magnetization_mub_per_cell": 0.00, "cell": [[5.252, 0.000, 0.000], [0.000, 5.198, 0.000], [0.000, 0.000, 5.252]], "species": ["Tl", "Au", "Au", "Hg", "Pd"], "frac_coords": [[0.500, 0.500, 0.500], [0.000, 0.000, 0.500], [0.500, 0.000, 0.000], [0.000, 0.000, 0.000], [0.000, 0.500, 0.000]]}



[5]
{"formula": "UHgPdAu", "functional": "PBE", "state": "relaxed", "e_tot_ev_per_cell": -20.6, "dos_at_fermi_per_ev_atom": 1.824, "rho_g_cm3": 14.77, "total_magnetization_mub_per_cell": 2.46, "cell": [[4.904, 0.000, 0.000], [2.452, 4.247, 0.000], [2.452, 1.416, 4.004]], "species": ["Au", "U", "Hg", "Pd"], "frac_coords": [[0.750, 0.750, 0.750], [0.500, 0.500, 0.500], [0.000, 0.000, 0.000], [0.250, 0.250, 0.250]]}



[6]
{"formula": "V2HgPdAu", "functional": "PBE", "state": "relaxed", "e_tot_ev_per_cell": -18.8, "dos_at_fermi_per_ev_atom": 2.036, "rho_g_cm3": 8.60, "total_magnetization_mub_per_cell": 0.11, "cell": [[-3.915, -2.732, -0.937], [2.204, -3.886, 2.120], [-1.907, 1.261, 4.294]], "species": ["Au", "Hg", "Pd", "V", "V"], "frac_coords": [[0.500, 0.500, 0.500], [0.000, 0.000, 0.000], [0.000, 0.500, 0.000], [0.000, 0.000, 0.500], [0.500, 0.000, 0.000]]}



[7]
{"formula": "HgPd2WAu", "functional": "PBE", "state": "relaxed", "e_tot_ev_per_cell": -18.4, "dos_at_fermi_per_ev_atom": 0.693, "rho_g_cm3": 10.56, "total_magnetization_mub_per_cell": 4.11, "cell": [[-0.924, -0.965, -4.800], [4.086, -2.930, -0.198], [-2.757, -3.934, 1.321]], "species": ["Pd", "Pd", "Au", "Hg", "W"], "frac_coords": [[0.000, 0.000, 0.500], [0.500, 0.000, 0.000], [0.000, 0.000, 0.000], [0.000, 0.500, 0.000], [0.500, 0.500, 0.500]]}



[8]
{"formula": "Zn2HgPd5Au2", "functional": "PBE", "state": "relaxed", "e_tot_ev_per_cell": -75.1, "dos_at_fermi_per_ev_atom": 0.319, "rho_g_cm3": 12.50, "total_magnetization_mub_per_cell": 0.00, "cell": [[-2.191, -3.201, 0.740], [7.650, -5.013, 0.961], [0.161, 1.968, 8.982]], "species": ["Zn", "Zn", "Zn", "Zn", "Hg", "Hg", "Pd", "Pd", "Pd", "Pd", "Pd", "Pd", "Pd", "Pd", "Pd", "Pd", "Au", "Au", "Au", "Au"], "frac_coords": [[0.000, 0.127, 0.627], [0.000, 0.873, 0.373], [0.000, 0.627, 0.873], [0.000, 0.373, 0.127], [0.000, 0.000, 0.000], [0.000, 0.500, 0.500], [0.500, 0.198, 0.087], [0.500, 0.802, 0.913], [0.500, 0.087, 0.802], [0.500, 0.698, 0.413], [0.500, 0.913, 0.198], [0.500, 0.302, 0.587], [0.500, 0.587, 0.698], [0.500, 0.413, 0.302], [0.500, 0.500, 0.000], [0.500, 0.000, 0.500], [0.000, 0.667, 0.167], [0.000, 0.333, 0.833], [0.000, 0.167, 0.333], [0.000, 0.833, 0.667]]}



[9]
{"formula": "Pm4Hg5Au", "functional": "PBE", "state": "relaxed", "e_tot_ev_per_cell": -28.7, "dos_at_fermi_per_ev_atom": 0.698, "rho_g_cm3": 11.19, "total_magnetization_mub_per_cell": 0.00, "cell": [[-5.189, 0.212, -0.697], [0.857, -0.616, -6.567], [1.914, -7.442, 3.185]], "species": ["Pm", "Pm", "Pm", "Pm", "Hg", "Hg", "Hg", "Hg", "Hg", "Au"], "frac_coords": [[0.683, 0.304, 0.365], [0.090, 0.864, 0.179], [0.317, 0.696, 0.635], [0.910, 0.136, 0.821], [0.288, 0.181, 0.576], [0.108, 0.411, 0.216], [0.892, 0.589, 0.784], [0.500, 0.500, 0.000], [0.712, 0.819, 0.424], [0.500, 0.000, 0.000]]}



[10]
{"formula": "PmHg3Au2", "functional": "PBE", "state": "relaxed", "e_tot_ev_per_cell": -13.4, "dos_at_fermi_per_ev_atom": 0.566, "rho_g_cm3": 13.44, "total_magnetization_mub_per_cell": 0.00, "cell": [[5.759, 0.000, 0.000], [-2.879, 4.987, 0.000], [0.000, 0.000, 4.906]], "species": ["Pm", "Hg", "Hg", "Hg", "Au", "Au"], "frac_coords": [[0.000, 0.000, 0.000], [0.500, 0.500, 0.500], [0.000, 0.500, 0.500], [0.500, 0.000, 0.500], [0.667, 0.333, 0.000], [0.333, 0.667, 0.000]]}



[11]
{"formula": "PmHgAu3", "functional": "PBE", "state": "relaxed", "e_tot_ev_per_cell": -34.6, "dos_at_fermi_per_ev_atom": 0.462, "rho_g_cm3": 14.25, "total_magnetization_mub_per_cell": 0.00, "cell": [[-3.673, -0.218, -3.615], [4.110, -2.199, -2.724], [-0.957, -6.553, 5.382]], "species": ["Pm", "Pm", "Hg", "Hg", "Au", "Au", "Au", "Au", "Au", "Au"], "frac_coords": [[0.191, 0.603, 0.889], [0.085, 0.166, 0.322], [0.451, 0.738, 0.296], [0.329, 0.112, 0.726], [0.558, 0.612, 0.652], [0.444, 0.165, 0.094], [0.842, 0.598, 0.120], [0.755, 0.168, 0.567], [0.854, 0.025, 0.933], [0.988, 0.655, 0.493]]}



[12]
{"formula": "PmHgAu", "functional": "PBE", "state": "relaxed", "dos_at_fermi_per_ev_atom": 1.377, "rho_g_cm3": 10.97, "polymorph_energy_mev_per_atom": 129.5, "total_magnetization_mub_per_cell": 0.00, "cell": [[-0.201, 2.934, -3.894], [-3.573, 3.301, -0.386], [1.006, 4.751, 0.471]], "species": ["Au", "Hg", "Pm"], "frac_coords": [[0.250, 0.250, 0.250], [0.500, 0.500, 0.500], [0.000, 0.000, 0.000]]}



[13]
{"formula": "Pm2Hg2Au15", "functional": "PBE", "state": "relaxed", "e_tot_ev_per_cell": -64.0, "dos_at_fermi_per_ev_atom": 0.389, "rho_g_cm3": 15.44, "total_magnetization_mub_per_cell": 0.00, "cell": [[7.382, 0.017, 0.016], [0.975, 7.317, 0.016], [0.975, 0.856, 7.267]], "species": ["Pm", "Pm", "Hg", "Hg", "Au", "Au", "Au", "Au", "Au", "Au", "Au", "Au", "Au", "Au", "Au", "Au", "Au", "Au", "Au"], "frac_coords": [[0.353, 0.353, 0.353], [0.647, 0.647, 0.647], [0.106, 0.106, 0.106], [0.894, 0.894, 0.894], [0.500, 0.000, 0.000], [0.000, 0.000, 0.500], [0.000, 0.500, 0.000], [0.000, 0.686, 0.314], [0.686, 0.314, 0.000], [0.314, 0.000, 0.686], [0.314, 0.686, 0.000], [0.686, 0.000, 0.314], [0.000, 0.314, 0.686], [0.165, 0.645, 0.645], [0.645, 0.645, 0.165], [0.645, 0.165, 0.645], [0.835, 0.355, 0.355], [0.355, 0.355, 0.835], [0.355, 0.835, 0.355]]}



[14]
{"formula": "Pm6Hg2Au", "functional": "PBE", "state": "relaxed", "e_tot_ev_per_cell": -34.1, "dos_at_fermi_per_ev_atom": 1.884, "rho_g_cm3": 8.24, "total_magnetization_mub_per_cell": 0.33, "cell": [[-3.685, 3.381, -1.382], [-3.074, -0.628, 6.659], [7.754, 4.473, -0.067]], "species": ["Pm", "Pm", "Pm", "Pm", "Pm", "Pm", "Hg", "Hg", "Au"], "frac_coords": [[0.163, 0.409, 0.327], [0.837, 0.082, 0.673], [0.837, 0.591, 0.673], [0.500, 0.241, 0.000], [0.163, 0.918, 0.327], [0.500, 0.759, 0.000], [0.666, 0.666, 0.333], [0.334, 0.334, 0.667], [0.000, 0.000, 0.000]]}



[15]
{"formula": "PmHgAu", "functional": "PBE", "state": "relaxed", "dos_at_fermi_per_ev_atom": 0.301, "rho_g_cm3": 12.35, "polymorph_energy_mev_per_atom": 66.0, "total_magnetization_mub_per_cell": 0.00, "cell": [[-3.512, 0.871, 1.506], [1.491, -0.243, 3.617], [2.097, 4.305, -2.700]], "species": ["Au", "Hg", "Pm"], "frac_coords": [[0.951, 0.951, 0.903], [0.287, 0.287, 0.573], [0.612, 0.612, 0.224]]}



[16]
{"formula": "PmHgAu2", "functional": "PBE", "state": "relaxed", "dos_at_fermi_per_ev_atom": 0.533, "rho_g_cm3": 13.22, "polymorph_energy_mev_per_atom": 78.6, "total_magnetization_mub_per_cell": 0.00, "cell": [[3.739, 0.000, 0.000], [0.000, 3.739, 0.000], [0.000, 0.000, 6.643]], "species": ["Au", "Au", "Hg", "Pm"], "frac_coords": [[0.000, 0.000, 0.751], [0.000, 0.000, 0.249], [0.500, 0.500, 0.000], [0.500, 0.500, 0.500]]}



[17]
{"formula": "Pm3HgAu4", "functional": "PBE", "state": "relaxed", "dos_at_fermi_per_ev_atom": 0.543, "rho_g_cm3": 12.28, "polymorph_energy_mev_per_atom": 0.0, "total_magnetization_mub_per_cell": 0.00, "cell": [[5.066, 0.000, 0.000], [0.000, 7.499, 0.000], [0.000, 0.000, 10.132]], "species": ["Au", "Au", "Au", "Au", "Au", "Au", "Au", "Au", "Hg", "Hg", "Pm", "Pm", "Pm", "Pm", "Pm", "Pm"], "frac_coords": [[0.500, 0.756, 0.000], [0.500, 0.756, 0.500], [0.500, 0.244, 0.000], [0.500, 0.244, 0.500], [0.000, 0.756, 0.750], [0.000, 0.756, 0.250], [0.000, 0.244, 0.250], [0.000, 0.244, 0.750], [0.000, 0.500, 0.000], [0.000, 0.500, 0.500], [0.000, 0.000, 0.000], [0.000, 0.000, 0.500], [0.500, 0.000, 0.750], [0.500, 0.000, 0.250], [0.500, 0.500, 0.750], [0.500, 0.500, 0.250]]}



[18]
{"formula": "Pm5Hg2Au2", "functional": "PBE", "state": "relaxed", "e_tot_ev_per_cell": -71.4, "dos_at_fermi_per_ev_atom": 1.219, "rho_g_cm3": 9.87, "total_magnetization_mub_per_cell": 0.00, "cell": [[-6.475, 4.828, 1.733], [-4.291, -6.024, 0.752], [4.055, 2.664, 7.728]], "species": ["Pm", "Pm", "Pm", "Pm", "Pm", "Pm", "Pm", "Pm", "Pm", "Pm", "Hg", "Hg", "Hg", "Hg", "Au", "Au", "Au", "Au"], "frac_coords": [[0.000, 0.000, 0.000], [0.500, 0.500, 0.000], [0.826, 0.803, 0.269], [0.174, 0.466, 0.269], [0.326, 0.966, 0.269], [0.674, 0.303, 0.269], [0.174, 0.197, 0.731], [0.826, 0.534, 0.731], [0.674, 0.034, 0.731], [0.326, 0.697, 0.731], [0.000, 0.212, 0.425], [0.500, 0.712, 0.425], [0.000, 0.788, 0.575], [0.500, 0.288, 0.575], [0.636, 0.876, 0.000], [0.364, 0.124, 0.000], [0.136, 0.624, 0.000], [0.864, 0.376, 0.000]]}



[19]
{"formula": "PmHg5Au", "functional": "PBE", "state": "relaxed", "e_tot_ev_per_cell": -11.3, "dos_at_fermi_per_ev_atom": 0.586, "rho_g_cm3": 12.62, "total_magnetization_mub_per_cell": 0.00, "cell": [[4.955, 0.000, 0.000], [0.000, 4.955, 0.000], [0.000, 0.000, 7.204]], "species": ["Pm", "Hg", "Hg", "Hg", "Hg", "Hg", "Au"], "frac_coords": [[0.000, 0.000, 0.000], [0.500, 0.000, 0.714], [0.000, 0.500, 0.714], [0.500, 0.500, 0.000], [0.000, 0.500, 0.286], [0.500, 0.000, 0.286], [0.000, 0.000, 0.500]]}



[20]
{"formula": "Pm3HgAu2", "functional": "PBE", "state": "relaxed", "e_tot_ev_per_cell": -25.2, "dos_at_fermi_per_ev_atom": 0.794, "rho_g_cm3": 10.98, "total_magnetization_mub_per_cell": 0.00, "cell": [[3.737, 0.000, 0.000], [0.000, 3.737, 0.000], [0.000, 0.000, 11.150]], "species": ["Pm", "Pm", "Pm", "Hg", "Au", "Au"], "frac_coords": [[0.000, 0.000, 0.000], [0.000, 0.000, 0.675], [0.000, 0.000, 0.325], [0.500, 0.500, 0.500], [0.500, 0.500, 0.835], [0.500, 0.500, 0.165]]}



[21]
{"formula": "PmHgAu6", "functional": "PBE", "state": "relaxed", "e_tot_ev_per_cell": -26.7, "dos_at_fermi_per_ev_atom": 0.310, "rho_g_cm3": 15.35, "total_magnetization_mub_per_cell": 0.00, "cell": [[-3.039, 0.861, 4.488], [-3.941, -3.222, -2.051], [2.313, -4.358, 2.402]], "species": ["Pm", "Hg", "Au", "Au", "Au", "Au", "Au", "Au"], "frac_coords": [[0.500, 0.500, 0.500], [0.000, 0.000, 0.000], [0.500, 0.751, 0.000], [0.751, 0.000, 0.500], [0.000, 0.500, 0.249], [0.249, 0.000, 0.500], [0.500, 0.249, 0.000], [0.000, 0.500, 0.751]]}



[22]
{"formula": "Pm2Hg3Au3", "functional": "PBE", "state": "relaxed", "e_tot_ev_per_cell": -24.5, "dos_at_fermi_per_ev_atom": 0.598, "rho_g_cm3": 13.41, "total_magnetization_mub_per_cell": 0.00, "cell": [[-0.290, -5.066, 0.251], [3.235, -2.865, -2.672], [6.219, -2.630, 5.516]], "species": ["Pm", "Pm", "Hg", "Hg", "Hg", "Au", "Au", "Au"], "frac_coords": [[0.004, 0.004, 0.989], [0.496, 0.496, 0.511], [0.247, 0.247, 0.258], [0.753, 0.753, 0.742], [0.625, 0.625, 0.126], [0.127, 0.127, 0.620], [0.877, 0.877, 0.369], [0.372, 0.372, 0.885]]}



[23]
{"formula": "Pm2HgAu3", "functional": "PBE", "state": "relaxed", "dos_at_fermi_per_ev_atom": 0.702, "rho_g_cm3": 12.71, "polymorph_energy_mev_per_atom": 0.0, "total_magnetization_mub_per_cell": 0.00, "cell": [[-3.364, -3.574, -3.400], [5.400, -2.484, 0.572], [-3.606, -1.028, 8.240]], "species": ["Pm", "Pm", "Pm", "Pm", "Hg", "Hg", "Au", "Au", "Au", "Au", "Au", "Au"], "frac_coords": [[0.250, 0.750, 0.500], [0.754, 0.754, 0.000], [0.750, 0.250, 0.500], [0.246, 0.246, 0.000], [0.667, 0.667, 0.334], [0.333, 0.333, 0.666], [0.333, 0.834, 0.166], [0.166, 0.667, 0.834], [0.667, 0.166, 0.834], [0.834, 0.333, 0.166], [0.166, 0.166, 0.331], [0.834, 0.834, 0.669]]}



[24]
{"formula": "PmHgAu", "functional": "PBE", "state": "relaxed", "dos_at_fermi_per_ev_atom": 0.982, "rho_g_cm3": 12.28, "polymorph_energy_mev_per_atom": 0.0, "total_magnetization_mub_per_cell": 0.00, "cell": [[-2.795, -1.361, -4.180], [5.204, -0.151, -0.187], [-0.100, -5.914, 1.992]], "species": ["Pm", "Pm", "Hg", "Hg", "Au", "Au"], "frac_coords": [[0.667, 0.833, 0.750], [0.333, 0.167, 0.250], [0.000, 0.500, 0.000], [0.000, 0.500, 0.500], [0.333, 0.167, 0.750], [0.667, 0.833, 0.250]]}